(1)
DFT (PBE) results for a relaxed CaCu2OsPb crystal.

Lattice parameters (Å, degrees): 4.740 4.740 5.652 90.00 90.00 90.00
Space group P4/mmm (No. 123)
Symmetry-distinct sites (fractional):
Ca1 0.000 0.000 0.000 x1
Cu1 0.000 0.500 0.000 x2
Os1 0.500 0.500 0.500 x1
Pb1 0.000 0.000 0.500 x1

Output
polymorph energy (0 for the lowest one)	379	meV/atom
volume	25.4	Å³ per atom
total DFT energy (no corrections)	-3.01	eV/atom
E_form	2.016	eV/atom

---

(2)
DFT (PBE) results for a relaxed Ca2CuSbOs crystal.

Lattice parameters (Å, degrees): 5.864 5.864 4.833 90.00 90.00 90.00
Space group P4/mmm (No. 123)
Symmetry-distinct sites (fractional):
Ca1 0.000 0.500 0.000 x2
Cu1 0.000 0.000 0.500 x1
Sb1 0.500 0.500 0.000 x1
Os1 0.500 0.500 0.500 x1

Output
volume	33.2	Å³ per atom
uncorrected formation energy	0.77	eV/atom
total DFT energy (no corrections)	-3.92	eV/atom

---

(3)
DFT (PBE) results for a relaxed Ca2CuTeOs crystal.

Lattice parameters (Å, degrees): 5.627 5.627 4.895 90.00 90.00 90.00
Space group P4/mmm (No. 123)
Symmetry-distinct sites (fractional):
Ca1 0.000 0.500 0.000 x2
Cu1 0.000 0.000 0.500 x1
Te1 0.500 0.500 0.500 x1
Os1 0.500 0.500 0.000 x1

Output
volume	31.0	Å³ per atom
uncorrected formation energy	0.24	eV/atom
total DFT energy (no corrections)	-4.25	eV/atom

---

(4)
DFT (PBE) results for a relaxed CaCu2P crystal.

Lattice parameters (Å, degrees): 3.887 3.891 4.928 90.00 90.75 90.00
Space group Pm (No. 6)
Symmetry-distinct sites (fractional):
Ca1 0.000 0.000 0.000 x1
Cu1 0.495 0.000 0.512 x1
Cu2 0.993 0.500 0.512 x1
P1 0.497 0.500 0.757 x1

Output
volume	18.6	Å³ per atom
total DFT energy (no corrections)	-4.21	eV/atom
E_form	-0.309	eV/atom

---

Which of these has the highest total DFT energy (no corrections)? CaCu2OsPb